The following is a DFT calculation (GGA+U) of an optimized crystal structure of Li3V2Si2O10. Values from VASP.

Results
Symmetry: Cmce (64)
ΔE to the lowest computed polymorph in meV per atom: 5.3
Crystal system: orthorhombic
DOS at the Fermi energy in states/eV/atom: 0.3448

Cell and atoms, written as Quantum ESPRESSO input:
```
&SYSTEM
  ibrav = 0, nat = 34, ntyp = 4
/
ATOMIC_SPECIES
Li 6.94 Li.upf
V 50.94 V.upf
Si 28.09 Si.upf
O 16.00 O.upf
CELL_PARAMETERS angstrom
4.5238 -4.5060 0.0000
4.5238 4.5060 0.0000
0.0000 0.0000 9.1452
ATOMIC_POSITIONS crystal
Li 0.0000 0.0000 0.0000
Li 0.0000 0.5000 0.0000
Li 0.0000 0.5000 0.5000
Li 0.5000 0.0000 0.0000
Li 0.5000 0.0000 0.5000
Li 0.5000 0.5000 0.5000
V 0.2400 0.7600 0.7024
V 0.2600 0.7400 0.2024
V 0.7400 0.2600 0.7976
V 0.7600 0.2400 0.2976
Si 0.2482 0.2518 0.7500
Si 0.2518 0.2482 0.2500
Si 0.7482 0.7518 0.7500
Si 0.7518 0.7482 0.2500
O 0.0401 0.2495 0.8561
O 0.0445 0.2571 0.3569
O 0.2291 0.7709 0.8835
O 0.2429 0.4555 0.1431
O 0.2495 0.0401 0.1439
O 0.2505 0.4599 0.6439
O 0.2571 0.0445 0.6431
O 0.2709 0.7291 0.3835
O 0.4555 0.2429 0.8569
O 0.4599 0.2505 0.3561
O 0.5401 0.7495 0.6439
O 0.5445 0.7571 0.1431
O 0.7291 0.2709 0.6165
O 0.7429 0.9555 0.3569
O 0.7495 0.5401 0.3561
O 0.7505 0.9599 0.8561
O 0.7571 0.5445 0.8569
O 0.7709 0.2291 0.1165
O 0.9555 0.7429 0.6431
O 0.9599 0.7505 0.1439
```